1.
Density functional theory data (GGA-PBE) for a relaxed Rb2BaRhCl8 crystal.

Values from the calculation:
Formation energy (no corrections): -1.432 eV per atom

abc: 5.6699 7.7603 9.1789
angles: 89.96 90.03 104.38
Closest atoms and distances in Å follow each position.
Atoms (fractional coordinates):
1 Rb 0.5013 0.4995 0.7621  4 Cl 3.18-3.35
2 Rb 0.4987 0.5005 0.2379  4 Cl 3.18-3.35
3 Ba 0.0000 0.0000 0.5000  6 Cl 3.12-3.30
4 Rh 0.0000 0.0000 0.0000  6 Cl 2.29-2.38
5 Cl 0.0753 0.8084 0.1881  1 Rh 2.38
6 Cl 0.6036 0.8369 0.9995  1 Rh 2.29
7 Cl 0.9239 0.1911 0.1879  1 Rh 2.38
8 Cl 0.9247 0.1916 0.8119  1 Rh 2.38
9 Cl 0.3964 0.1631 0.0005  1 Rh 2.29
10 Cl 0.0761 0.8089 0.8121  1 Rh 2.38
11 Cl 0.4690 0.7612 0.5004  1 Ba 3.12, 2 Rb 3.18
12 Cl 0.5310 0.2388 0.4996  1 Ba 3.12, 2 Rb 3.18

***

2.
Density functional theory data (GGA-PBE) for a relaxed Rb2BaRuCl6 crystal.

Values from the calculation:
Formation energy (no corrections): -1.547 eV per atom

abc: 7.6220 7.6220 7.6219
angles: 60.00 60.00 90.00
Closest atoms and distances in Å follow each position.
Atoms (fractional coordinates):
1 Ru 0.5000 0.5000 0.0000  6 Cl 2.41
2 Ba 0.0000 0.0000 0.0000  6 Cl 2.98
3 Rb 0.7500 0.2500 0.5000  12 Cl 3.82
4 Rb 0.2500 0.7500 0.5000  12 Cl 3.82
5 Cl 0.2762 0.2762 0.4475  1 Ru 2.41
6 Cl 0.7238 0.7238 0.5525  1 Ru 2.41
7 Cl 0.2762 0.2762 0.0000  1 Ru 2.41
8 Cl 0.7238 0.7238 0.0000  1 Ru 2.41
9 Cl 0.7238 0.2762 0.0000  1 Ru 2.41
10 Cl 0.2762 0.7238 0.0000  1 Ru 2.41

***

3.
Density functional theory data (GGA-PBE) for a relaxed RbBaSCl2 crystal.

Values from the calculation:
Offset from the most stable computed form: 401 meV/atom
Formation energy (no corrections): -1.140 eV per atom

abc: 5.7697 5.7697 5.4374
angles: 90.00 90.00 90.00
Closest atoms and distances in Å follow each position.
Atoms (fractional coordinates):
1 S 0.0000 0.0000 0.5000  2 Rb 2.72
2 Ba 0.5000 0.5000 0.5000  8 Cl 3.96, 4 S 4.08
3 Rb 0.0000 0.0000 0.0000  2 S 2.72, 4 Cl 2.88
4 Cl 0.0000 0.5000 0.0000  2 Rb 2.88
5 Cl 0.5000 0.0000 0.0000  2 Rb 2.88

***

4.
Density functional theory data (GGA-PBE) for a relaxed RbBaSCl2 crystal.

Values from the calculation:
Offset from the most stable computed form: 0 meV/atom
Formation energy (no corrections): -1.541 eV per atom

abc: 6.0379 6.0379 6.1238
angles: 90.00 90.00 90.00
Closest atoms and distances in Å follow each position.
Atoms (fractional coordinates):
1 S 0.0000 0.0000 0.5000  2 Ba 3.06
2 Ba 0.0000 0.0000 0.0000  4 Cl 3.02, 2 S 3.06
3 Rb 0.5000 0.5000 0.5000  4 S 4.27, 8 Cl 4.30
4 Cl 0.0000 0.5000 0.0000  2 Ba 3.02
5 Cl 0.5000 0.0000 0.0000  2 Ba 3.02

***

5.
Density functional theory data (GGA-PBE) for a relaxed Rb2BaSCl crystal.

Values from the calculation:
Formation energy (no corrections): -0.580 eV per atom

abc: 5.9108 5.9108 10.0623
angles: 90.00 90.00 90.00
Closest atoms and distances in Å follow each position.
Atoms (fractional coordinates):
1 S 0.0000 0.0000 0.0000  4 Rb 2.96
2 Ba 0.5000 0.5000 0.5000  4 Cl 4.18
3 Rb 0.0000 0.5000 0.0000  2 S 2.96
4 Rb 0.5000 0.0000 0.0000  2 S 2.96
5 Cl 0.0000 0.0000 0.5000  4 Ba 4.18

***

6.
Density functional theory data (GGA-PBE) for a relaxed Rb2BaSbCl6 crystal.

Values from the calculation:
Formation energy (no corrections): -1.587 eV per atom

abc: 8.0126 8.0126 8.5844
angles: 62.18 62.18 90.00
Closest atoms and distances in Å follow each position.
Atoms (fractional coordinates):
1 Sb 0.5000 0.5000 0.0000  4 Cl 2.66
2 Ba 0.0000 0.0000 0.0000  6 Cl 3.00-3.01
3 Rb 0.7500 0.2500 0.5000  12 Cl 4.01-4.30
4 Rb 0.2500 0.7500 0.5000  12 Cl 4.01-4.30
5 Cl 0.2324 0.2324 0.5352  1 Ba 3.00
6 Cl 0.7676 0.7676 0.4648  1 Ba 3.00
7 Cl 0.2656 0.2656 0.0000  1 Sb 2.66
8 Cl 0.7345 0.7345 0.0000  1 Sb 2.66
9 Cl 0.7345 0.2656 0.0000  1 Sb 2.66
10 Cl 0.2656 0.7345 0.0000  1 Sb 2.66

***

7.
Density functional theory data (GGA-PBE) for a relaxed Rb2BaSbCl8 crystal.

Values from the calculation:
Formation energy (no corrections): -1.545 eV per atom

abc: 5.9695 7.9880 9.3638
angles: 90.00 90.00 105.05
Closest atoms and distances in Å follow each position.
Atoms (fractional coordinates):
1 Rb 0.4999 0.5000 0.7555  4 Cl 3.18-3.33
2 Rb 0.5001 0.5000 0.2445  4 Cl 3.18-3.33
3 Ba 0.0000 0.0000 0.5000  6 Cl 3.03-3.30
4 Sb 0.0000 0.0000 0.0000  6 Cl 2.51-2.59
5 Cl 0.0768 0.8013 0.2026  1 Sb 2.59
6 Cl 0.5913 0.8129 0.0000  1 Sb 2.51
7 Cl 0.9233 0.1987 0.2026  1 Sb 2.59
8 Cl 0.9232 0.1987 0.7974  1 Sb 2.59
9 Cl 0.4087 0.1871 0.0000  1 Sb 2.51
10 Cl 0.0767 0.8013 0.7974  1 Sb 2.59
11 Cl 0.5114 0.7645 0.5000  1 Ba 3.03, 2 Rb 3.18
12 Cl 0.4886 0.2355 0.5000  1 Ba 3.03, 2 Rb 3.18

***

8.
Density functional theory data (GGA-PBE) for a relaxed Rb2BaSiCl6 crystal.

Values from the calculation:
Formation energy (no corrections): -1.637 eV per atom

abc: 7.9395 7.9395 7.9399
angles: 60.00 60.00 90.00
Closest atoms and distances in Å follow each position.
Atoms (fractional coordinates):
1 Si 0.5000 0.5000 0.0000  6 Cl 2.61
2 Ba 0.0000 0.0000 0.0000  6 Cl 3.00
3 Rb 0.7500 0.2500 0.5000  12 Cl 3.97
4 Rb 0.2500 0.7500 0.5000  12 Cl 3.97
5 Cl 0.2675 0.2675 0.4651  1 Si 2.61
6 Cl 0.7325 0.7325 0.5349  1 Si 2.61
7 Cl 0.2674 0.2674 0.0000  1 Si 2.61
8 Cl 0.7326 0.7326 0.0000  1 Si 2.61
9 Cl 0.7326 0.2674 0.0000  1 Si 2.61
10 Cl 0.2674 0.7326 0.0000  1 Si 2.61

***

9.
Density functional theory data (GGA-PBE) for a relaxed RbBa2SmCl8 crystal.

Values from the calculation:
Formation energy (no corrections): -2.321 eV per atom

abc: 6.1572 7.1338 9.7701
angles: 90.02 90.01 92.73
Closest atoms and distances in Å follow each position.
Atoms (fractional coordinates):
1 Rb 0.0000 0.0000 0.5000  6 Cl 3.18-3.41
2 Ba 0.5001 0.5001 0.7503  6 Cl 3.03-3.20
3 Ba 0.4999 0.4999 0.2497  6 Cl 3.03-3.20
4 Sm 0.0000 0.0000 0.0000  6 Cl 2.73-2.76
5 Cl 0.1041 0.7618 0.2062  1 Sm 2.73
6 Cl 0.6232 0.7745 0.0001  1 Sm 2.76
7 Cl 0.8961 0.2385 0.2062  1 Sm 2.73
8 Cl 0.8959 0.2382 0.7938  1 Sm 2.73
9 Cl 0.3768 0.2255 0.9999  1 Sm 2.76
10 Cl 0.1039 0.7615 0.7938  1 Sm 2.73
11 Cl 0.5593 0.7476 0.5000  2 Ba 3.03, 1 Rb 3.18
12 Cl 0.4407 0.2524 0.5000  2 Ba 3.03, 1 Rb 3.18

***

10.
Density functional theory data (GGA-PBE) for a relaxed Rb2BaSnCl6 crystal.

Values from the calculation:
Offset from the most stable computed form: 0 meV/atom
Formation energy (no corrections): -1.841 eV per atom

abc: 7.8290 8.2107 11.2383
angles: 90.00 90.78 90.00
Closest atoms and distances in Å follow each position.
Atoms (fractional coordinates):
1 Rb 0.0247 0.9322 0.2487  6 Cl 3.33-3.58
2 Rb 0.5247 0.5678 0.7487  6 Cl 3.33-3.58
3 Rb 0.9753 0.0678 0.7513  6 Cl 3.33-3.58
4 Rb 0.4753 0.4322 0.2513  6 Cl 3.33-3.58
5 Ba 0.5000 0.0000 0.0000  6 Cl 3.07-3.08
6 Ba 0.0000 0.5000 0.5000  6 Cl 3.07-3.08
7 Sn 0.5000 0.0000 0.5000  6 Cl 2.86-2.88
8 Sn 0.0000 0.5000 0.0000  6 Cl 2.86-2.88
9 Cl 0.2924 0.6942 0.0601  1 Sn 2.86, 1 Ba 3.07
10 Cl 0.7924 0.8058 0.5601  1 Sn 2.86, 1 Ba 3.07
11 Cl 0.7076 0.3058 0.9399  1 Sn 2.86, 1 Ba 3.07
12 Cl 0.2076 0.1942 0.4399  1 Sn 2.86, 1 Ba 3.07
13 Cl 0.3119 0.7101 0.4374  1 Sn 2.88, 1 Ba 3.08
14 Cl 0.8119 0.7899 0.9374  1 Sn 2.88, 1 Ba 3.08
15 Cl 0.6881 0.2899 0.5626  1 Sn 2.88, 1 Ba 3.08
16 Cl 0.1881 0.2101 0.0626  1 Sn 2.88, 1 Ba 3.08
17 Cl 0.8838 0.5443 0.2395  1 Sn 2.88, 1 Ba 3.08
18 Cl 0.3838 0.9557 0.7395  1 Sn 2.88, 1 Ba 3.08
19 Cl 0.1162 0.4557 0.7605  1 Sn 2.88, 1 Ba 3.08
20 Cl 0.6162 0.0443 0.2605  1 Sn 2.88, 1 Ba 3.08

***

11.
Density functional theory data (GGA-PBE) for a relaxed Rb2BaSnCl6 crystal.

Values from the calculation:
Offset from the most stable computed form: 64 meV/atom
Formation energy (no corrections): -1.777 eV per atom

abc: 8.2399 8.2399 8.2407
angles: 60.00 60.00 90.00
Closest atoms and distances in Å follow each position.
Atoms (fractional coordinates):
1 Cl 0.2579 0.2579 0.4843  1 Sn 2.82, 1 Ba 3.01
2 Cl 0.7421 0.7421 0.5157  1 Sn 2.82, 1 Ba 3.01
3 Cl 0.2579 0.2579 0.0000  1 Sn 2.82, 1 Ba 3.00
4 Cl 0.7421 0.7421 0.0000  1 Sn 2.82, 1 Ba 3.00
5 Cl 0.7421 0.2579 0.0000  1 Sn 2.82, 1 Ba 3.00
6 Cl 0.2579 0.7421 0.0000  1 Sn 2.82, 1 Ba 3.00
7 Ba 0.0000 0.0000 0.0000  6 Cl 3.00-3.01
8 Rb 0.7500 0.2500 0.5000  12 Cl 4.12
9 Rb 0.2500 0.7500 0.5000  12 Cl 4.12
10 Sn 0.5000 0.5000 0.0000  6 Cl 2.82

***

12.
Density functional theory data (GGA-PBE) for a relaxed Rb2BaSrCl6 crystal.

Values from the calculation:
Offset from the most stable computed form: 0 meV/atom
Formation energy (no corrections): -2.278 eV per atom

abc: 7.9095 8.2582 11.2300
angles: 90.00 90.33 90.00
Closest atoms and distances in Å follow each position.
Atoms (fractional coordinates):
1 Rb 0.0242 0.9352 0.2500  6 Cl 3.32-3.57
2 Rb 0.5242 0.5648 0.7500  6 Cl 3.32-3.57
3 Rb 0.9758 0.0648 0.7500  6 Cl 3.32-3.57
4 Rb 0.4758 0.4352 0.2500  6 Cl 3.32-3.57
5 Ba 0.5000 0.0000 0.0000  6 Cl 3.07-3.09
6 Ba 0.0000 0.5000 0.5000  6 Cl 3.07-3.09
7 Sr 0.5000 0.0000 0.5000  6 Cl 2.91-2.92
8 Sr 0.0000 0.5000 0.0000  6 Cl 2.91-2.92
9 Cl 0.2907 0.6984 0.0630  1 Sr 2.91, 1 Ba 3.07
10 Cl 0.7907 0.8016 0.5630  1 Sr 2.91, 1 Ba 3.07
11 Cl 0.7093 0.3016 0.9370  1 Sr 2.91, 1 Ba 3.07
12 Cl 0.2093 0.1984 0.4370  1 Sr 2.91, 1 Ba 3.07
13 Cl 0.3066 0.7120 0.4338  1 Sr 2.92, 1 Ba 3.09
14 Cl 0.8066 0.7880 0.9338  1 Sr 2.92, 1 Ba 3.09
15 Cl 0.6934 0.2880 0.5662  1 Sr 2.92, 1 Ba 3.09
16 Cl 0.1934 0.2120 0.0662  1 Sr 2.92, 1 Ba 3.09
17 Cl 0.8783 0.5500 0.2416  1 Sr 2.91, 1 Ba 3.08
18 Cl 0.3783 0.9500 0.7416  1 Sr 2.91, 1 Ba 3.08
19 Cl 0.1217 0.4500 0.7584  1 Sr 2.91, 1 Ba 3.08
20 Cl 0.6217 0.0500 0.2584  1 Sr 2.91, 1 Ba 3.08

***

13.
Density functional theory data (GGA-PBE) for a relaxed Rb2BaSrCl6 crystal.

Values from the calculation:
Offset from the most stable computed form: 66 meV/atom
Formation energy (no corrections): -2.211 eV per atom

abc: 8.2956 8.2956 8.2955
angles: 60.00 60.00 90.00
Closest atoms and distances in Å follow each position.
Atoms (fractional coordinates):
1 Sr 0.5000 0.5000 0.0000  6 Cl 2.86
2 Ba 0.0000 0.0000 0.0000  6 Cl 3.01
3 Rb 0.7500 0.2500 0.5000  12 Cl 4.15
4 Rb 0.2500 0.7500 0.5000  12 Cl 4.15
5 Cl 0.2566 0.2566 0.4868  1 Sr 2.86, 1 Ba 3.01
6 Cl 0.7434 0.7434 0.5132  1 Sr 2.86, 1 Ba 3.01
7 Cl 0.2566 0.2566 0.0000  1 Sr 2.86, 1 Ba 3.01
8 Cl 0.7434 0.7434 0.0000  1 Sr 2.86, 1 Ba 3.01
9 Cl 0.7434 0.2566 0.0000  1 Sr 2.86, 1 Ba 3.01
10 Cl 0.2566 0.7434 0.0000  1 Sr 2.86, 1 Ba 3.01

***

14.
Density functional theory data (GGA-PBE) for a relaxed Rb2BaTaCl6 crystal.

Values from the calculation:
Formation energy (no corrections): -1.592 eV per atom

abc: 7.8178 7.8178 7.8180
angles: 60.00 60.00 90.00
Closest atoms and distances in Å follow each position.
Atoms (fractional coordinates):
1 Cl 0.2292 0.2292 0.5416  1 Ta 2.53
2 Cl 0.7708 0.7708 0.4584  1 Ta 2.53
3 Cl 0.2292 0.2292 0.0000  1 Ta 2.53
4 Cl 0.7708 0.7708 0.0000  1 Ta 2.53
5 Cl 0.7708 0.2292 0.0000  1 Ta 2.53
6 Cl 0.2292 0.7708 0.0000  1 Ta 2.53
7 Ba 0.5000 0.5000 0.0000  6 Cl 2.99
8 Rb 0.7500 0.2500 0.5000  12 Cl 3.92
9 Rb 0.2500 0.7500 0.5000  12 Cl 3.92
10 Ta 0.0000 0.0000 0.0000  6 Cl 2.53

***

15.
Density functional theory data (GGA-PBE) for a relaxed RbBaTbCl6 crystal.

Values from the calculation:
Formation energy (no corrections): -2.313 eV per atom

abc: 7.7051 7.7051 13.4210
angles: 90.00 90.00 120.00
Closest atoms and distances in Å follow each position.
Atoms (fractional coordinates):
1 Rb 0.0000 0.0000 0.0000  6 Cl 3.38
2 Rb 0.0000 0.0000 0.5000  6 Cl 3.38
3 Ba 0.3333 0.6667 0.2500  6 Cl 3.10
4 Ba 0.6667 0.3333 0.7500  6 Cl 3.10
5 Tb 0.6667 0.3333 0.2500  6 Cl 2.67
6 Tb 0.3333 0.6667 0.7500  6 Cl 2.67
7 Cl 0.6538 0.6127 0.1372  1 Tb 2.67
8 Cl 0.9589 0.3462 0.1372  1 Tb 2.67
9 Cl 0.3462 0.9589 0.6372  1 Tb 2.67
10 Cl 0.0411 0.6538 0.8628  1 Tb 2.67
11 Cl 0.3873 0.3462 0.3628  1 Tb 2.67
12 Cl 0.9589 0.6127 0.3628  1 Tb 2.67
13 Cl 0.6127 0.9589 0.8628  1 Tb 2.67
14 Cl 0.6538 0.0411 0.3628  1 Tb 2.67
15 Cl 0.0411 0.3873 0.6372  1 Tb 2.67
16 Cl 0.3873 0.0411 0.1372  1 Tb 2.67
17 Cl 0.6127 0.6538 0.6372  1 Tb 2.67
18 Cl 0.3462 0.3873 0.8628  1 Tb 2.67

***

16.
Density functional theory data (GGA-PBE) for a relaxed Rb2BaTcCl6 crystal.

Values from the calculation:
Formation energy (no corrections): -1.512 eV per atom

abc: 7.6699 7.6699 7.6698
angles: 60.00 60.00 90.00
Closest atoms and distances in Å follow each position.
Atoms (fractional coordinates):
1 Cl 0.2749 0.2749 0.4503  1 Tc 2.44
2 Cl 0.7251 0.7251 0.5497  1 Tc 2.44
3 Cl 0.2749 0.2749 0.0000  1 Tc 2.44
4 Cl 0.7251 0.7251 0.0000  1 Tc 2.44
5 Cl 0.7251 0.2749 0.0000  1 Tc 2.44
6 Cl 0.2749 0.7251 0.0000  1 Tc 2.44
7 Ba 0.0000 0.0000 0.0000  6 Cl 2.98
8 Rb 0.7500 0.2500 0.5000  12 Cl 3.84
9 Rb 0.2500 0.7500 0.5000  12 Cl 3.84
10 Tc 0.5000 0.5000 0.0000  6 Cl 2.44

***

17.
Density functional theory data (GGA-PBE) for a relaxed RbBaTeCl crystal.

Values from the calculation:
Offset from the most stable computed form: 110 meV/atom
Formation energy (no corrections): -1.684 eV per atom

abc: 5.8934 5.8934 5.8934
angles: 60.00 60.00 60.00
Closest atoms and distances in Å follow each position.
Atoms (fractional coordinates):
1 Te 0.5000 0.5000 0.5000  4 Ba 3.61, 4 Rb 3.61
2 Ba 0.7500 0.7500 0.7500  4 Cl 3.61, 4 Te 3.61
3 Rb 0.2500 0.2500 0.2500  4 Cl 3.61, 4 Te 3.61
4 Cl 0.0000 0.0000 0.0000  4 Ba 3.61, 4 Rb 3.61

***

18.
Density functional theory data (GGA-PBE) for a relaxed RbBaTeCl crystal.

Values from the calculation:
Offset from the most stable computed form: 0 meV/atom
Formation energy (no corrections): -1.794 eV per atom

abc: 4.9138 4.9138 7.0040
angles: 90.00 90.00 90.00
Closest atoms and distances in Å follow each position.
Atoms (fractional coordinates):
1 Rb 0.5000 0.5000 0.5000  4 Cl 3.47, 2 Te 3.50
2 Ba 0.0000 0.0000 0.0000  4 Te 3.47, 2 Cl 3.50
3 Te 0.5000 0.5000 0.0000  4 Ba 3.47, 2 Rb 3.50
4 Cl 0.0000 0.0000 0.5000  4 Rb 3.47, 2 Ba 3.50

***

19.
Density functional theory data (GGA-PBE) for a relaxed Rb2BaTiCl6 crystal.

Values from the calculation:
Formation energy (no corrections): -1.888 eV per atom

abc: 7.8019 7.8019 7.8021
angles: 60.00 60.00 90.00
Closest atoms and distances in Å follow each position.
Atoms (fractional coordinates):
1 Cl 0.2715 0.2715 0.4570  1 Ti 2.52
2 Cl 0.7285 0.7285 0.5430  1 Ti 2.52
3 Cl 0.2715 0.2715 0.0000  1 Ti 2.52
4 Cl 0.7285 0.7285 0.0000  1 Ti 2.52
5 Cl 0.7285 0.2715 0.0000  1 Ti 2.52
6 Cl 0.2715 0.7285 0.0000  1 Ti 2.52
7 Ba 0.0000 0.0000 0.0000  6 Cl 3.00
8 Rb 0.7500 0.2500 0.5000  12 Cl 3.91
9 Rb 0.2500 0.7500 0.5000  12 Cl 3.91
10 Ti 0.5000 0.5000 0.0000  6 Cl 2.52

***

20.
Density functional theory data (GGA-PBE) for a relaxed Rb2BaTiCl8 crystal.

Values from the calculation:
Formation energy (no corrections): -1.887 eV per atom

abc: 5.9992 7.7459 9.0937
angles: 89.99 89.93 101.78
Closest atoms and distances in Å follow each position.
Atoms (fractional coordinates):
1 Rb 0.4963 0.4997 0.7640  4 Cl 3.15-3.33
2 Rb 0.5037 0.5003 0.2360  4 Cl 3.15-3.33
3 Ba 0.0000 0.0000 0.5000  6 Cl 3.02-3.29
4 Ti 0.0000 0.0000 0.0000  6 Cl 2.31-2.40
5 Cl 0.0917 0.8095 0.1892  1 Ti 2.40
6 Cl 0.6336 0.8331 0.9994  1 Ti 2.31
7 Cl 0.9068 0.1896 0.1893  1 Ti 2.40
8 Cl 0.9083 0.1905 0.8108  1 Ti 2.40
9 Cl 0.3664 0.1669 0.0006  1 Ti 2.31
10 Cl 0.0932 0.8104 0.8107  1 Ti 2.40
11 Cl 0.5299 0.7663 0.4999  1 Ba 3.02, 2 Rb 3.15
12 Cl 0.4701 0.2337 0.5001  1 Ba 3.02, 2 Rb 3.15